No. 1
## Ti3Pd5 (meta-GGA SCAN)

Data for a PBEsol-optimized structure of Ti3Pd5.

```
Ti3Pd5
1.0
3.256 0.000 0.000
0.000 3.256 0.000
0.000 0.000 11.308
Pd Ti
5 3
Direct
0.500 0.500 0.380 Pd
0.000 0.000 0.242 Pd
0.000 0.000 0.000 Pd
0.500 0.500 0.620 Pd
0.000 0.000 0.758 Pd
0.000 0.000 0.500 Ti
0.500 0.500 0.137 Ti
0.500 0.500 0.863 Ti
```

## Properties
theoretical density: 9.36 g/cm3
D(E_F): 4.0 states/eV/f.u.
E_form: -0.701 eV per atom

No. 2
## Ge2BiMoW (meta-GGA SCAN)

Data for a PBEsol-optimized structure of Ge2BiMoW.

```
Ge2BiMoW
1.0
5.151 0.000 0.000
0.000 5.239 0.000
0.000 0.000 5.239
Ge Mo W Bi
2 1 1 1
Direct
0.000 0.000 0.500 Ge
0.000 0.500 0.000 Ge
0.500 0.500 0.500 Mo
0.500 0.000 0.000 W
0.000 0.000 0.000 Bi
```

## Properties
theoretical density: 7.45 g/cm3
D(E_F): 2.9 states/eV/f.u.
E_form: 2.506 eV per atom

No. 3
## NaCo2Se2 (meta-GGA SCAN)

Data for a PBEsol-optimized structure of NaCo2Se2.

```
NaCo2Se2
1.0
-3.668 0.852 -0.162
-0.458 -2.502 -2.781
0.880 -3.489 5.547
Na Co Se
1 2 2
Direct
0.000 0.000 0.000 Na
0.750 0.250 0.500 Co
0.250 0.750 0.500 Co
0.360 0.360 0.720 Se
0.640 0.640 0.280 Se
```

## Properties
theoretical density: 5.77 g/cm3
D(E_F): 2.5 states/eV/f.u.
E_form (uncorrected): -384 meV/atom

No. 4
## ZnSbI2N (meta-GGA SCAN)

Data for a PBEsol-optimized structure of ZnSbI2N.

```
ZnSbI2N
1.0
-2.381 -0.636 -4.464
3.132 -4.501 -1.029
-3.812 -3.223 2.492
N I Zn Sb
1 2 1 1
Direct
0.500 0.500 0.500 N
0.000 0.500 0.000 I
0.000 0.000 0.500 I
0.000 0.000 0.000 Zn
0.500 0.000 0.000 Sb
```

## Properties
theoretical density: 4.76 g/cm3
D(E_F): 2.6 states/eV/f.u.
E_form (uncorrected): 1141 meV/atom

No. 5
## ScZn2GeIr (meta-GGA SCAN)

Data for a PBEsol-optimized structure of ScZn2GeIr.

```
ScZn2GeIr
1.0
-1.956 1.654 -3.825
-4.231 -1.182 1.652
-0.388 4.218 2.023
Sc Zn Ir Ge
1 2 1 1
Direct
0.500 0.500 0.500 Sc
0.000 0.000 0.500 Zn
0.000 0.500 0.000 Zn
0.000 0.000 0.000 Ir
0.500 0.000 0.000 Ge
```

## Properties
theoretical density: 7.21 g/cm3
D(E_F): 2.1 states/eV/f.u.
E_form: -0.039 eV per atom

No. 6
## AlSeBr4 (meta-GGA SCAN)

Data for a PBEsol-optimized structure of AlSeBr4.

```
AlSeBr4
1.0
6.086 0.000 0.000
3.043 5.271 0.000
3.043 1.757 4.970
Br Se Al
4 1 1
Direct
0.375 0.874 0.375 Br
0.375 0.375 0.375 Br
0.874 0.375 0.375 Br
0.375 0.375 0.874 Br
0.750 0.750 0.750 Se
0.000 0.000 0.000 Al
```

## Properties
theoretical density: 4.43 g/cm3
D(E_F): 6.0 states/eV/f.u.
E_form (uncorrected): 774 meV/atom

No. 7
## Na2SbRuW (meta-GGA SCAN)

Data for a PBEsol-optimized structure of Na2SbRuW.

```
Na2SbRuW
1.0
-1.809 -4.061 -0.553
3.358 -0.919 -4.231
3.722 -2.123 3.415
W Ru Na Sb
1 1 2 1
Direct
0.000 0.000 0.000 W
0.500 0.000 0.000 Ru
0.000 0.500 0.000 Na
0.000 0.000 0.500 Na
0.500 0.500 0.500 Sb
```

## Properties
theoretical density: 5.59 g/cm3
D(E_F): 4.6 states/eV/f.u.
E_form (uncorrected): 1498 meV/atom

No. 8
## Li2CuPO4 (meta-GGA SCAN)

Data for a PBEsol-optimized structure of Li2CuPO4.

```
Li2CuPO4
1.0
5.229 0.018 0.017
-0.302 5.221 0.017
-0.022 -0.024 6.147
P O Li Cu
2 8 4 2
Direct
0.675 0.675 0.260 P
0.325 0.325 0.740 P
0.197 0.197 0.539 O
0.790 0.790 0.045 O
0.210 0.210 0.955 O
0.292 0.619 0.736 O
0.619 0.292 0.736 O
0.708 0.381 0.264 O
0.803 0.803 0.461 O
0.381 0.708 0.264 O
0.179 0.821 0.500 Li
0.821 0.179 0.500 Li
0.314 0.314 0.247 Li
0.686 0.686 0.753 Li
0.812 0.188 0.000 Cu
0.188 0.812 0.000 Cu
```

## Properties
theoretical density: 3.41 g/cm3
E_form (uncorrected): -2135 meV/atom

No. 9
## Cu2O3 (meta-GGA SCAN)

Data for a PBEsol-optimized structure of Cu2O3.

```
Cu2O3
1.0
3.349 0.000 0.000
1.674 4.791 0.000
1.674 0.000 5.991
Cu O
4 6
Direct
0.823 0.767 0.595 Cu
0.168 0.267 0.905 Cu
0.340 0.733 0.095 Cu
0.185 0.233 0.405 Cu
0.969 0.963 0.336 O
0.344 0.500 0.500 O
0.594 0.000 0.000 O
0.056 0.463 0.164 O
0.682 0.537 0.836 O
0.269 0.037 0.664 O
```

## Properties
theoretical density: 6.05 g/cm3
D(E_F): 0.2 states/eV/f.u.
E_form (uncorrected): -594 meV/atom

No. 10
## Cs3NdMo3O12 (meta-GGA SCAN)

Data for a PBEsol-optimized structure of Cs3NdMo3O12.

```
Cs3NdMo3O12
1.0
6.336 0.000 0.000
0.000 9.299 0.000
0.000 0.000 25.465
O Cs Nd Mo
48 12 4 12
Direct
0.025 0.831 0.506 O
0.482 0.087 0.904 O
0.250 0.407 0.665 O
0.475 0.831 0.506 O
0.750 0.932 0.984 O
0.525 0.169 0.494 O
0.750 0.722 0.709 O
0.521 0.480 0.805 O
0.521 0.980 0.695 O
0.750 0.204 0.593 O
0.482 0.587 0.596 O
0.250 0.568 0.484 O
0.750 0.593 0.335 O
0.250 0.338 0.556 O
0.750 0.093 0.165 O
0.750 0.432 0.516 O
0.479 0.020 0.305 O
0.518 0.913 0.096 O
0.479 0.520 0.195 O
0.979 0.480 0.805 O
0.525 0.669 0.006 O
0.250 0.642 0.106 O
0.250 0.907 0.835 O
0.475 0.331 0.994 O
0.250 0.142 0.394 O
0.518 0.413 0.404 O
0.982 0.413 0.404 O
0.018 0.587 0.596 O
0.250 0.796 0.407 O
0.250 0.838 0.944 O
0.021 0.520 0.195 O
0.975 0.669 0.006 O
0.250 0.068 0.016 O
0.982 0.913 0.096 O
0.025 0.331 0.994 O
0.750 0.222 0.791 O
0.250 0.278 0.291 O
0.018 0.087 0.904 O
0.750 0.358 0.894 O
0.750 0.704 0.907 O
0.750 0.162 0.056 O
0.750 0.858 0.606 O
0.250 0.296 0.093 O
0.975 0.169 0.494 O
0.021 0.020 0.305 O
0.979 0.980 0.695 O
0.750 0.662 0.444 O
0.250 0.778 0.209 O
0.250 0.524 0.908 Cs
0.750 0.476 0.092 Cs
0.250 0.088 0.182 Cs
0.750 0.412 0.682 Cs
0.250 0.024 0.592 Cs
0.250 0.693 0.743 Cs
0.250 0.193 0.757 Cs
0.750 0.807 0.243 Cs
0.750 0.976 0.408 Cs
0.750 0.307 0.257 Cs
0.750 0.912 0.818 Cs
0.250 0.588 0.318 Cs
0.250 0.316 0.460 Nd
0.750 0.684 0.540 Nd
0.750 0.184 0.960 Nd
0.250 0.816 0.040 Nd
0.250 0.481 0.602 Mo
0.750 0.743 0.974 Mo
0.250 0.257 0.026 Mo
0.750 0.887 0.675 Mo
0.250 0.757 0.474 Mo
0.750 0.019 0.102 Mo
0.250 0.113 0.325 Mo
0.750 0.519 0.398 Mo
0.250 0.613 0.175 Mo
0.750 0.243 0.526 Mo
0.250 0.981 0.898 Mo
0.750 0.387 0.825 Mo
```

## Properties
theoretical density: 4.53 g/cm3
D(E_F): 0.0 states/eV/f.u.
E_form (uncorrected): -2517 meV/atom

No. 11
## K3Sr (meta-GGA SCAN)

Data for a PBEsol-optimized structure of K3Sr.

```
K3Sr
1.0
4.407 0.000 0.000
2.203 3.816 0.000
2.203 1.272 15.127
Sr K
1 3
Direct
0.000 0.000 0.000 Sr
0.253 0.253 0.242 K
0.500 0.500 0.500 K
0.747 0.747 0.758 K
```

## Properties
theoretical density: 1.34 g/cm3
D(E_F): 3.6 states/eV/f.u.
E_form: 0.057 eV per atom

No. 12
## RbMn3B (meta-GGA SCAN)

Data for a PBEsol-optimized structure of RbMn3B.

```
RbMn3B
1.0
4.224 0.000 0.000
0.000 4.224 0.000
0.000 0.000 4.224
B Mn Rb
1 3 1
Direct
0.000 0.000 0.000 B
0.000 0.500 0.000 Mn
0.000 0.000 0.500 Mn
0.500 0.000 0.000 Mn
0.500 0.500 0.500 Rb
```

## Properties
theoretical density: 5.75 g/cm3
D(E_F): 4.3 states/eV/f.u.
E_form: 0.748 eV per atom

No. 13
## TaF5 (meta-GGA SCAN)

Data for a PBEsol-optimized structure of TaF5.

```
TaF5
1.0
-3.918 3.130 1.016
-5.118 -6.966 -1.124
3.228 0.495 8.082
F Ta
20 4
Direct
0.848 0.730 0.539 F
0.152 0.270 0.461 F
0.396 0.665 0.665 F
0.604 0.335 0.335 F
0.175 0.076 0.711 F
0.055 0.870 0.870 F
0.376 0.833 0.405 F
0.825 0.924 0.289 F
0.848 0.539 0.730 F
0.381 0.215 0.026 F
0.624 0.167 0.595 F
0.619 0.785 0.974 F
0.381 0.026 0.215 F
0.825 0.289 0.924 F
0.619 0.974 0.785 F
0.945 0.130 0.130 F
0.624 0.595 0.167 F
0.152 0.461 0.270 F
0.376 0.405 0.833 F
0.175 0.711 0.076 F
0.251 0.257 0.257 Ta
0.500 0.799 0.201 Ta
0.749 0.743 0.743 Ta
0.500 0.201 0.799 Ta
```

## Properties
theoretical density: 5.14 g/cm3
D(E_F): 0.0 states/eV/f.u.
E_form (uncorrected): -3330 meV/atom

No. 14
## CaLa2Cr (meta-GGA SCAN)

Data for a PBEsol-optimized structure of CaLa2Cr.

```
CaLa2Cr
1.0
-0.964 -2.917 2.216
5.364 -1.243 0.697
-2.004 5.490 3.117
La Cr Ca
2 1 1
Direct
0.748 0.248 0.497 La
0.957 0.957 0.915 La
0.255 0.755 0.510 Cr
0.539 0.539 0.078 Ca
```

## Properties
theoretical density: 5.12 g/cm3
D(E_F): 4.0 states/eV/f.u.
E_form: 0.193 eV per atom

No. 15
## ReSb2H (meta-GGA SCAN)

Data for a PBEsol-optimized structure of ReSb2H.

```
ReSb2H
1.0
6.274 0.000 0.000
-3.137 4.450 1.076
0.000 3.105 5.452
H Sb Re
2 4 2
Direct
0.250 0.500 0.250 H
0.500 0.000 0.500 H
0.375 0.250 0.194 Sb
0.556 0.750 0.375 Sb
0.194 0.750 0.875 Sb
0.875 0.250 0.556 Sb
0.750 0.500 0.750 Re
0.000 0.000 0.000 Re
```

## Properties
total DFT energy (no corrections): -290.9 eV for the cell shown
theoretical density: 10.90 g/cm3
D(E_F): 1.9 states/eV/f.u.

No. 16
## Li3Mn4O8 (meta-GGA SCAN)

Data for a PBEsol-optimized structure of Li3Mn4O8.

```
Li3Mn4O8
1.0
5.620 0.054 -0.101
2.756 4.898 -0.101
2.524 1.492 9.935
Li Mn O
6 8 16
Direct
0.432 0.931 0.717 Li
0.000 0.500 0.000 Li
0.069 0.568 0.783 Li
0.931 0.432 0.217 Li
0.500 0.000 0.500 Li
0.568 0.069 0.283 Li
0.000 0.000 0.500 Mn
0.000 0.000 0.000 Mn
0.250 0.750 0.250 Mn
0.500 0.500 0.500 Mn
0.000 0.500 0.500 Mn
0.750 0.250 0.750 Mn
0.500 0.000 0.000 Mn
0.500 0.500 0.000 Mn
0.356 0.856 0.387 O
0.361 0.861 0.901 O
0.645 0.619 0.610 O
0.355 0.381 0.390 O
0.861 0.361 0.401 O
0.381 0.355 0.890 O
0.639 0.139 0.099 O
0.855 0.881 0.890 O
0.145 0.119 0.110 O
0.881 0.855 0.390 O
0.119 0.145 0.610 O
0.619 0.645 0.110 O
0.144 0.644 0.113 O
0.856 0.356 0.887 O
0.139 0.639 0.599 O
0.644 0.144 0.613 O
```

## Properties
theoretical density: 4.47 g/cm3
D(E_F): 4.1 states/eV/f.u.
E_form (uncorrected): -2198 meV/atom

No. 17
## La2AgPt2 (meta-GGA SCAN)

Data for a PBEsol-optimized structure of La2AgPt2.

```
La2AgPt2
1.0
-0.187 2.856 2.641
4.870 -3.884 4.545
5.967 3.520 -3.385
Pt Ag La
4 2 4
Direct
0.000 0.133 0.367 Pt
0.000 0.867 0.633 Pt
0.000 0.367 0.867 Pt
0.000 0.633 0.133 Pt
0.000 0.500 0.500 Ag
0.000 0.000 0.000 Ag
0.500 0.670 0.830 La
0.500 0.330 0.170 La
0.500 0.830 0.330 La
0.500 0.170 0.670 La
```

## Properties
theoretical density: 11.13 g/cm3
D(E_F): 3.0 states/eV/f.u.
E_form: -1.076 eV per atom

No. 18
## NaFeW3 (meta-GGA SCAN)

Data for a PBEsol-optimized structure of NaFeW3.

```
NaFeW3
1.0
-2.062 -3.436 -2.038
3.866 -2.294 -0.044
-1.006 -1.772 4.008
W Fe Na
3 1 1
Direct
0.000 0.000 0.500 W
0.500 0.000 0.000 W
0.000 0.500 0.000 W
0.000 0.000 0.000 Fe
0.500 0.500 0.500 Na
```

## Properties
theoretical density: 11.52 g/cm3
D(E_F): 5.2 states/eV/f.u.
E_form: 1.734 eV per atom

No. 19
## KCa2Te (meta-GGA SCAN)

Data for a PBEsol-optimized structure of KCa2Te.

```
KCa2Te
1.0
5.001 0.000 0.000
0.000 5.001 0.000
-2.500 -2.500 5.612
K Te Ca
1 1 2
Direct
0.500 0.500 0.000 K
0.000 0.000 0.000 Te
0.750 0.250 0.500 Ca
0.250 0.750 0.500 Ca
```

## Properties
theoretical density: 2.92 g/cm3
D(E_F): 1.4 states/eV/f.u.
E_form (uncorrected): -431 meV/atom

No. 20
## RePNO2 (meta-GGA SCAN)

Data for a PBEsol-optimized structure of RePNO2.

```
RePNO2
1.0
3.077 0.000 0.000
0.000 3.077 0.000
0.000 0.000 6.870
Re O N P
1 2 1 1
Direct
0.500 0.500 0.500 Re
0.500 0.000 0.000 O
0.000 0.500 0.000 O
0.000 0.000 0.500 N
0.000 0.000 0.000 P
```

## Properties
theoretical density: 6.72 g/cm3
D(E_F): 2.0 states/eV/f.u.
E_form (uncorrected): 259 meV/atom